Record 1
# SnHCl3

A relaxed structure of SnHCl3 (PBE, Alexandria).

Output
- Volume: 31.2 Å³/atom
- Distance to the lowest polymorph of the same formula: 0.00 eV per formula unit
- SG: No. 14
- Crystal system: monoclinic

abc: 6.9461 8.2892 11.1807
angles: 104.05 90.00 90.00
Last column: nearest neighbours and their distance in Å.
Fractional positions:
Sn 0.7497 0.1018 0.5906  4 Cl 2.60-2.89
Sn 0.2503 0.8982 0.4094  4 Cl 2.60-2.89
Sn 0.2497 0.8982 0.9094  4 Cl 2.60-2.89
Sn 0.7503 0.1018 0.0906  4 Cl 2.60-2.89
H 0.2375 0.3797 0.3930  1 Cl 1.30
H 0.7625 0.6203 0.6070  1 Cl 1.30
H 0.7375 0.6203 0.1070  1 Cl 1.30
H 0.2625 0.3797 0.8930  1 Cl 1.30
Cl 0.9047 0.0605 0.3713  2 Sn 2.62-2.83
Cl 0.0953 0.9395 0.6287  2 Sn 2.62-2.83
Cl 0.4047 0.9395 0.1287  2 Sn 2.62-2.83
Cl 0.5953 0.0605 0.8713  2 Sn 2.62-2.83
Cl 0.4080 0.1914 0.4746  1 H 2.32
Cl 0.5920 0.8086 0.5254  1 H 2.32
Cl 0.9080 0.8086 0.0254  1 H 2.32
Cl 0.0920 0.1914 0.9746  1 H 2.32
Cl 0.8591 0.5305 0.6671  1 H 1.30
Cl 0.1409 0.4695 0.3329  1 H 1.30
Cl 0.3591 0.4695 0.8329  1 H 1.30
Cl 0.6409 0.5305 0.1671  1 H 1.30

=====

Record 2
# KAc2Sn

A relaxed structure of KAc2Sn (PBE, Alexandria).

Output
- Volume: 56.2 Å³/atom
- Energy of formation from the pure elements: -1.6 kcal/mol of atoms
- SG: No. 166
- Crystal system: trigonal

abc: 4.5497 4.5497 12.8138
angles: 79.77 79.77 60.00
Last column: nearest neighbours and their distance in Å.
Fractional positions:
K 0.0000 0.0000 0.0000  2 Ac 4.33, 6 K 4.55
Ac 0.1150 0.1150 0.6549  3 Sn 3.27
Ac 0.8850 0.8850 0.3451  3 Sn 3.27
Sn 0.5000 0.5000 0.5000  6 Ac 3.27

=====

Record 3
# Er7Cd2Os2

A relaxed structure of Er7Cd2Os2 (PBE, Alexandria).

Output
- Volume: 27.9 Å³/atom
- Energy of formation from the pure elements: -3.7 kcal/mol of atoms
- SG: No. 65
- Crystal system: orthorhombic

abc: 6.7102 7.0903 6.7102
angles: 90.00 105.85 90.00
Last column: nearest neighbours and their distance in Å.
Fractional positions:
Er 0.9998 0.2489 0.5003  2 Os 2.72
Er 0.5003 0.7511 0.9998  2 Os 2.72
Er 0.0002 0.7511 0.4997  2 Os 2.72
Er 0.4997 0.2489 0.0002  2 Os 2.72
Er 0.0000 0.0000 0.0000  2 Os 3.10
Er 0.5002 0.7601 0.4998  2 Os 2.82
Er 0.4998 0.2399 0.5002  2 Os 2.82
Cd 0.8237 0.5000 0.8237  1 Cd 2.85
Cd 0.1763 0.5000 0.1763  1 Cd 2.85
Os 0.7102 0.0000 0.2898  6 Er 2.72-2.82
Os 0.2898 0.0000 0.7102  6 Er 2.72-2.82

=====

Record 4
# Nd8Sm3Mg

A relaxed structure of Nd8Sm3Mg (PBE, Alexandria).

Output
- Volume: 34.1 Å³/atom
- Energy of formation from the pure elements: 0.1 kcal/mol of atoms
- SG: No. 1
- Crystal system: triclinic

abc: 3.6841 12.1376 13.1286
angles: 48.65 106.36 90.07
Last column: nearest neighbours and their distance in Å.
Fractional positions:
Nd 0.1678 0.6634 0.9175  2 Mg 3.52, 7 Nd 3.63-3.68, 3 Sm 3.69-3.76
Nd 0.3722 0.0044 0.6218  9 Nd 3.55-3.68, 2 Sm 3.60-3.61, 1 Mg 3.68
Nd 0.1290 0.9922 0.8781  3 Sm 3.57-3.81, 9 Nd 3.63-3.68
Nd 0.3235 0.3291 0.5740  7 Nd 3.55-3.68, 5 Sm 3.68-3.69
Nd 0.6784 0.6652 0.4290  7 Nd 3.50-3.68, 3 Sm 3.56-3.68, 2 Mg 3.64
Nd 0.8693 0.0063 0.1188  9 Nd 3.48-3.69, 3 Sm 3.66-3.68
Nd 0.8281 0.3200 0.0793  7 Nd 3.48-3.68, 4 Sm 3.62, 1 Mg 3.72
Nd 0.6411 0.9798 0.3898  2 Mg 3.49, 9 Nd 3.50-3.69, 1 Sm 3.73
Sm 0.0639 0.3479 0.8141  2 Mg 3.46, 8 Nd 3.56-3.81, 2 Sm 3.68
Sm 0.5667 0.3342 0.3172  4 Sm 3.58-3.68, 8 Nd 3.60-3.73
Sm 0.9278 0.6646 0.1771  8 Nd 3.57-3.76, 4 Sm 3.58-3.68
Mg 0.4305 0.6628 0.6798  2 Sm 3.46, 8 Nd 3.49-3.72, 2 Mg 3.68